Entry 1:
Here is an optimized crystal structure of Zr2BeNbP from Alexandria. Energies are from PBEsol.

Results
crystal system = tetragonal
space-group type = P4/mmm, No. 123
E_form = 0.26 eV/atom

```
Zr2BeNbP
1.0
4.576 0.000 0.000
0.000 4.576 0.000
0.000 0.000 4.257
Zr Be Nb P
2 1 1 1
Cartesian
0.000 2.288 0.000
2.288 0.000 0.000
0.000 0.000 0.000
0.000 0.000 2.128
2.288 2.288 2.128
```

Entry 2:
Here is an optimized crystal structure of Li3VO2F2 from Alexandria. Energies are from PBEsol.

Results
formation energy from raw total energies = -2.51 eV/atom
crystal system = orthorhombic
space-group type = Cmmm, No. 65

```
Li3VO2F2
1.0
2.889 -4.170 0.000
2.889 4.170 0.000
0.000 0.000 2.819
Li V O F
3 1 2 2
Cartesian
0.000 0.000 0.000
1.444 2.085 1.410
1.444 -2.085 1.410
2.889 0.000 0.000
1.515 0.000 1.410
4.263 0.000 1.410
2.889 2.051 0.000
2.889 -2.051 0.000
```

Number 1: total magnetic moment 0.00 μB/f.u.. Number 2: total magnetic moment 2.00 μB/f.u..